[1]
A plane-wave DFT calculation with GGA-PBE was carried out for crystalline MgRh3 at its relaxed geometry.

extended XYZ file:
```
4
Lattice="0.0000 3.1083 3.1083 3.1083 0.0000 3.1083 3.1083 3.1083 0.0000" Properties=species:S:1:pos:R:3 pbc="T T T"
Mg 0.0000 0.0000 0.0000
Rh 1.5541 1.5541 1.5541
Rh 3.1083 3.1083 3.1083
Rh 4.6624 4.6624 4.6624
```

Properties
**Calculated density**: 9207 kg/m3
**E**: -5.971 eV per atom
**Formation energy from the elements**: -0.0591 eV per atom

=====

[2]
A plane-wave DFT calculation with GGA-PBE was carried out for crystalline LiMg2Si2 at its relaxed geometry.

extended XYZ file:
```
5
Lattice="-2.1735 2.1735 5.5094 2.1735 -2.1735 5.5094 2.1735 2.1735 -5.5094" Properties=species:S:1:pos:R:3 pbc="T T T"
Li 0.0000 0.0000 0.0000
Mg 2.1735 0.0000 2.7547
Mg 0.0000 2.1735 2.7547
Si 0.0000 0.0000 4.3660
Si 0.0000 0.0000 6.6528
```

Properties
**Calculated density**: 1782 kg/m3
**E**: -3.222 eV per atom
**Uncorrected formation energy**: -0.03 eV per atom

=====

[3]
A plane-wave DFT calculation with GGA-PBE was carried out for crystalline Zr3NbS at its relaxed geometry.

extended XYZ file:
```
5
Lattice="4.8063 0.0000 0.0000 0.0000 4.8063 0.0000 0.0000 0.0000 4.8063" Properties=species:S:1:pos:R:3 pbc="T T T"
Zr 0.0000 0.0000 2.4031
Zr 0.0000 2.4031 0.0000
Zr 2.4031 0.0000 0.0000
Nb 2.4031 2.4031 2.4031
S 0.0000 0.0000 0.0000
```

Properties
**Calculated density**: 5962 kg/m3
**E**: -8.242 eV per atom
**E above lowest polymorph**: 0.00 eV per formula unit
**Uncorrected formation energy**: -0.27 eV per atom